Entry 1:
A relaxed structure of Ca3AgN, computed with PBE-GGA.

a b c (Å): 7.3878 4.7996 8.3745
angles (deg): 90.00 114.89 90.00
Last column: nearest neighbours and their distance in Å.
Element x y z (fractional)
Ca1 0.0126 0.2500 0.2188  1 N 2.26
Ca2 0.3484 0.2500 0.9249  3 N 2.38-2.46
Ca3 0.3766 0.7500 0.6108  1 N 2.23
Ca4 0.6234 0.2500 0.3892  1 N 2.23
Ca5 0.6516 0.7500 0.0751  3 N 2.38-2.46
Ca6 0.9874 0.7500 0.7812  1 N 2.26
Ag1 0.2778 0.7500 0.2008  1 N 3.06, 7 Ca 3.14-3.37
Ag2 0.7222 0.2500 0.7992  1 N 3.06, 7 Ca 3.14-3.37
N1 0.3183 0.7500 0.8519  5 Ca 2.23-2.46
N2 0.6817 0.2500 0.1481  5 Ca 2.23-2.46

## Properties
Its uncorrected formation energy is -0.478 eV per atom. The value obtained for the size of the total moment is 0.0 μB per formula unit. The space-group type is P2_1/m, No. 11.

---

Entry 2:
A relaxed structure of CaAgN2, computed with PBE-GGA.

a b c (Å): 4.9232 4.9232 11.0377
angles (deg): 90.00 90.00 90.00
Last column: nearest neighbours and their distance in Å.
Element x y z (fractional)
Ca1 0.0000 0.0000 0.0000  4 N 2.37
Ca2 0.0000 0.5000 0.2500  4 N 2.37
Ca3 0.5000 0.0000 0.7500  4 N 2.37
Ca4 0.5000 0.5000 0.5000  4 N 2.37
Ag1 0.0000 0.0000 0.5000  4 N 2.09
Ag2 0.0000 0.5000 0.7500  4 N 2.09
Ag3 0.5000 0.0000 0.2500  4 N 2.09
Ag4 0.5000 0.5000 0.0000  4 N 2.09
N1 0.1988 0.2500 0.6250  2 Ag 2.09
N2 0.2500 0.6988 0.8750  2 Ag 2.09
N3 0.2500 0.8012 0.3750  2 Ag 2.09
N4 0.3012 0.2500 0.1250  2 Ag 2.09
N5 0.6988 0.7500 0.1250  2 Ag 2.09
N6 0.7500 0.1988 0.3750  2 Ag 2.09
N7 0.7500 0.3012 0.8750  2 Ag 2.09
N8 0.8012 0.7500 0.6250  2 Ag 2.09

## Properties
The calculation puts the energy above the lowest structure with this stoichiometry at 0.000 eV per atom. Its uncorrected formation energy is 0.755 eV per atom. The value obtained for the size of the total moment is 0.0 μB per formula unit. The space-group type is I-42d, No. 122.

---

Entry 3:
A relaxed structure of Ca3Ag2N, computed with PBE-GGA.

a b c (Å): 4.9608 15.0879 3.5929
angles (deg): 90.00 90.00 90.00
Last column: nearest neighbours and their distance in Å.
Element x y z (fractional)
Ca1 0.0000 0.0000 0.0000  2 N 2.48
Ca2 0.0000 0.3871 0.5000  2 N 2.48
Ca3 0.0000 0.6129 0.5000  2 N 2.48
Ca4 0.5000 0.1129 0.5000  2 N 2.48
Ca5 0.5000 0.5000 0.0000  2 N 2.48
Ca6 0.5000 0.8871 0.5000  2 N 2.48
Ag1 0.0000 0.2046 0.0000  2 Ag 2.83, 1 Ca 3.09
Ag2 0.0000 0.7954 0.0000  2 Ag 2.83, 1 Ca 3.09
Ag3 0.5000 0.2954 0.0000  2 Ag 2.83, 1 Ca 3.09
Ag4 0.5000 0.7046 0.0000  2 Ag 2.83, 1 Ca 3.09
N1 0.0000 0.5000 0.0000  6 Ca 2.48
N2 0.5000 0.0000 0.0000  6 Ca 2.48

## Properties
Its uncorrected formation energy is -0.457 eV per atom. The value obtained for the size of the total moment is 0.0 μB per formula unit. The space-group type is Cmmm, No. 65.

---

Entry 4:
A relaxed structure of Ca12Ag5N2, computed with PBE-GGA.

a b c (Å): 9.1171 9.1171 9.3124
angles (deg): 105.15 105.15 49.68
Last column: nearest neighbours and their distance in Å.
Element x y z (fractional)
Ca1 0.9997 0.9997 0.1827  2 N 2.60
Ca2 0.0003 0.0003 0.8173  2 N 2.60
Ca3 0.0912 0.6031 0.9218  1 N 2.42
Ca4 0.1039 0.6029 0.4277  4 Ag 3.01-3.14
Ca5 0.3971 0.8961 0.5723  4 Ag 3.01-3.14
Ca6 0.3969 0.9088 0.0782  1 N 2.42
Ca7 0.4992 0.4992 0.1743  2 N 2.48
Ca8 0.5008 0.5008 0.8257  2 N 2.48
Ca9 0.6031 0.0912 0.9218  1 N 2.42
Ca10 0.6029 0.1039 0.4277  4 Ag 3.01-3.14
Ca11 0.8961 0.3971 0.5723  4 Ag 3.01-3.14
Ca12 0.9088 0.3969 0.0782  1 N 2.42
Ag1 0.1949 0.1949 0.8418  7 Ca 3.08-3.16
Ag2 0.1963 0.1963 0.3555  7 Ca 3.06-3.19
Ag3 0.5000 0.5000 0.5000  6 Ca 3.01-3.03
Ag4 0.8037 0.8037 0.6445  7 Ca 3.06-3.19
Ag5 0.8051 0.8051 0.1582  7 Ca 3.08-3.16
N1 0.2556 0.7444 0.0000  6 Ca 2.42-2.60
N2 0.7444 0.2556 0.0000  6 Ca 2.42-2.60

## Properties
Its uncorrected formation energy is -0.336 eV per atom. The value obtained for the size of the total moment is 0.0 μB per formula unit. The space-group type is C2/m, No. 12.

---

Entry 5:
A relaxed structure of CaAg3N, computed with PBE-GGA.

a b c (Å): 5.7998 5.7998 5.7998
angles (deg): 90.00 90.00 90.00
Last column: nearest neighbours and their distance in Å.
Element x y z (fractional)
Ca1 0.0000 0.0000 0.0000  6 Ag 2.90
Ag1 0.0000 0.0000 0.5000  2 Ca 2.90
Ag2 0.0000 0.5000 0.0000  2 Ca 2.90
Ag3 0.5000 0.0000 0.0000  2 Ca 2.90
N1 0.5000 0.5000 0.5000  12 Ag 4.10

## Properties
The calculation puts the energy above the lowest structure with this stoichiometry at 1.391 eV per atom. Its uncorrected formation energy is 1.779 eV per atom. The value obtained for the size of the total moment is 2.9 μB per formula unit. The space-group type is Pm-3m, No. 221.

---

Entry 6:
A relaxed structure of Ca5Ag2N2, computed with PBE-GGA.

a b c (Å): 7.6104 7.6104 7.1001
angles (deg): 95.30 95.30 34.75
Last column: nearest neighbours and their distance in Å.
Element x y z (fractional)
Ca1 0.0000 0.0000 0.0000  2 N 2.44
Ca2 0.1312 0.1312 0.5974  1 N 2.20
Ca3 0.3231 0.3231 0.9832  3 N 2.41
Ca4 0.6769 0.6769 0.0168  3 N 2.41
Ca5 0.8688 0.8688 0.4026  1 N 2.20
Ag1 0.4715 0.4715 0.6785  1 Ag 2.74
Ag2 0.5285 0.5285 0.3215  1 Ag 2.74
N1 0.1578 0.1578 0.9078  5 Ca 2.20-2.44
N2 0.8422 0.8422 0.0922  5 Ca 2.20-2.44

## Properties
Its uncorrected formation energy is -0.504 eV per atom. The value obtained for the size of the total moment is 0.0 μB per formula unit. The space-group type is C2/m, No. 12.

---

| no. | Fermi-level density of states (states/eV per cell) |
| --- | --- |
| 1 | 3.55 |
| 2 | 10.18 |
| 3 | 4.59 |
| 4 | 9.28 |
| 5 | 3.42 |
| 6 | 2.92 |